Entry 1:
! SiHgS2N, relaxed, DFT GGA-PBE; values from VASP
&SYSTEM
  ibrav = 0, nat = 5, ntyp = 4
/
ATOMIC_SPECIES
Hg 200.59 Hg.upf
Si 28.09 Si.upf
S 32.06 S.upf
N 14.01 N.upf
ATOMIC_POSITIONS crystal
Hg 0.000 0.000 0.000
Si 0.500 0.500 0.500
S 0.500 0.000 0.000
S 0.000 0.500 0.000
N 0.000 0.000 0.500
CELL_PARAMETERS angstrom
-3.242 -3.960 -0.145
3.473 -2.931 2.359
-1.528 1.118 3.639
! * DFT total energy: -14.87 eV for the cell shown
! * magnetic moment: 1.960 μB/f.u.
! * offset from the most stable computed form: 1.1618 eV/atom
! * energy relative to the elements, uncorrected: 1.49 eV/atom
! * symmetry: P4/mmm, No. 123



Entry 2:
! SiHgSN2, relaxed, DFT GGA-PBE; values from VASP
&SYSTEM
  ibrav = 0, nat = 5, ntyp = 4
/
ATOMIC_SPECIES
N 14.01 N.upf
Si 28.09 Si.upf
Hg 200.59 Hg.upf
S 32.06 S.upf
ATOMIC_POSITIONS crystal
N 0.000 0.500 0.000
N 0.500 0.000 0.000
Si 0.500 0.500 0.500
Hg 0.000 0.000 0.000
S 0.000 0.000 0.500
CELL_PARAMETERS angstrom
4.168 0.000 0.000
0.000 4.168 0.000
0.000 0.000 5.723
! * DFT total energy: -16.10 eV for the cell shown
! * magnetic moment: 3.147 μB/f.u.
! * offset from the most stable computed form: 1.5301 eV/atom
! * energy relative to the elements, uncorrected: 2.08 eV/atom
! * symmetry: P4/mmm, No. 123



Entry 3:
! SiHgS2N, relaxed, DFT GGA-PBE; values from VASP
&SYSTEM
  ibrav = 0, nat = 5, ntyp = 4
/
ATOMIC_SPECIES
Hg 200.59 Hg.upf
S 32.06 S.upf
N 14.01 N.upf
Si 28.09 Si.upf
ATOMIC_POSITIONS crystal
Hg 0.500 0.500 0.500
S 0.000 0.000 0.500
S 0.500 0.000 0.000
N 0.000 0.500 0.000
Si 0.000 0.000 0.000
CELL_PARAMETERS angstrom
-0.725 3.223 3.699
-1.986 -2.181 1.511
3.904 -1.887 2.408
! * DFT total energy: -20.68 eV for the cell shown
! * magnetic moment: 0.000 μB/f.u.
! * offset from the most stable computed form: 0.0000 eV/atom
! * energy relative to the elements, uncorrected: 0.32 eV/atom
! * symmetry: P4/mmm, No. 123



Entry 4:
! SiHgSN2, relaxed, DFT GGA-PBE; values from VASP
&SYSTEM
  ibrav = 0, nat = 5, ntyp = 4
/
ATOMIC_SPECIES
S 32.06 S.upf
Hg 200.59 Hg.upf
N 14.01 N.upf
Si 28.09 Si.upf
ATOMIC_POSITIONS crystal
S 0.000 0.000 0.500
Hg 0.500 0.500 0.500
N 0.000 0.500 0.000
N 0.500 0.000 0.000
Si 0.000 0.000 0.000
CELL_PARAMETERS angstrom
3.523 0.000 0.000
0.000 3.523 0.000
0.000 0.000 6.250
! * DFT total energy: -23.76 eV for the cell shown
! * magnetic moment: 0.000 μB/f.u.
! * offset from the most stable computed form: 0.0000 eV/atom
! * energy relative to the elements, uncorrected: 0.55 eV/atom
! * symmetry: P4/mmm, No. 123



Entry 5:
! SnHgS2N, relaxed, DFT GGA-PBE; values from VASP
&SYSTEM
  ibrav = 0, nat = 5, ntyp = 4
/
ATOMIC_SPECIES
Hg 200.59 Hg.upf
Sn 118.71 Sn.upf
S 32.06 S.upf
N 14.01 N.upf
ATOMIC_POSITIONS crystal
Hg 0.500 0.500 0.500
Sn 0.000 0.000 0.000
S 0.000 0.500 0.000
S 0.500 0.000 0.000
N 0.000 0.000 0.500
CELL_PARAMETERS angstrom
-3.900 -3.195 -1.032
1.123 -2.732 4.214
-2.509 2.354 2.195
! * DFT total energy: -17.02 eV for the cell shown
! * magnetic moment: 1.430 μB/f.u.
! * offset from the most stable computed form: 0.0000 eV/atom
! * energy relative to the elements, uncorrected: 0.77 eV/atom
! * symmetry: P4/mmm, No. 123



Entry 6:
! SnHgSN2, relaxed, DFT GGA-PBE; values from VASP
&SYSTEM
  ibrav = 0, nat = 5, ntyp = 4
/
ATOMIC_SPECIES
Hg 200.59 Hg.upf
Sn 118.71 Sn.upf
N 14.01 N.upf
S 32.06 S.upf
ATOMIC_POSITIONS crystal
Hg 0.000 0.000 0.000
Sn 0.500 0.500 0.500
N 0.000 0.500 0.000
N 0.500 0.000 0.000
S 0.000 0.000 0.500
CELL_PARAMETERS angstrom
-1.013 -2.330 -3.495
2.457 -3.245 1.451
-4.256 -2.057 2.605
! * DFT total energy: -16.85 eV for the cell shown
! * magnetic moment: 3.039 μB/f.u.
! * offset from the most stable computed form: 0.4349 eV/atom
! * energy relative to the elements, uncorrected: 1.65 eV/atom
! * symmetry: P4/mmm, No. 123



Entry 7:
! SnHgS2N, relaxed, DFT GGA-PBE; values from VASP
&SYSTEM
  ibrav = 0, nat = 5, ntyp = 4
/
ATOMIC_SPECIES
Sn 118.71 Sn.upf
Hg 200.59 Hg.upf
S 32.06 S.upf
N 14.01 N.upf
ATOMIC_POSITIONS crystal
Sn 0.500 0.500 0.500
Hg 0.000 0.000 0.000
S 0.000 0.500 0.000
S 0.500 0.000 0.000
N 0.000 0.000 0.500
CELL_PARAMETERS angstrom
5.184 0.000 0.000
0.000 5.184 0.000
0.000 0.000 4.175
! * DFT total energy: -15.96 eV for the cell shown
! * magnetic moment: 1.981 μB/f.u.
! * offset from the most stable computed form: 0.2120 eV/atom
! * energy relative to the elements, uncorrected: 0.98 eV/atom
! * symmetry: P4/mmm, No. 123



Entry 8:
! SnHgSN2, relaxed, DFT GGA-PBE; values from VASP
&SYSTEM
  ibrav = 0, nat = 5, ntyp = 4
/
ATOMIC_SPECIES
N 14.01 N.upf
Hg 200.59 Hg.upf
Sn 118.71 Sn.upf
S 32.06 S.upf
ATOMIC_POSITIONS crystal
N 0.500 0.000 0.000
N 0.000 0.500 0.000
Hg 0.500 0.500 0.500
Sn 0.000 0.000 0.000
S 0.000 0.000 0.500
CELL_PARAMETERS angstrom
-1.810 -2.411 -2.841
3.634 -1.838 -0.756
-1.090 -3.751 3.878
! * DFT total energy: -19.02 eV for the cell shown
! * magnetic moment: 2.529 μB/f.u.
! * offset from the most stable computed form: 0.0000 eV/atom
! * energy relative to the elements, uncorrected: 1.21 eV/atom
! * symmetry: P4/mmm, No. 123



Entry 9:
! SrHgS2N, relaxed, DFT GGA-PBE; values from VASP
&SYSTEM
  ibrav = 0, nat = 5, ntyp = 4
/
ATOMIC_SPECIES
Hg 200.59 Hg.upf
N 14.01 N.upf
S 32.06 S.upf
Sr 87.62 Sr.upf
ATOMIC_POSITIONS crystal
Hg 0.000 0.000 0.000
N 0.000 0.000 0.500
S 0.500 0.000 0.000
S 0.000 0.500 0.000
Sr 0.500 0.500 0.500
CELL_PARAMETERS angstrom
5.207 0.000 0.000
0.000 5.207 0.000
0.000 0.000 4.242
! * DFT total energy: -17.70 eV for the cell shown
! * magnetic moment: 1.965 μB/f.u.
! * offset from the most stable computed form: 0.0000 eV/atom
! * energy relative to the elements, uncorrected: 0.17 eV/atom
! * symmetry: P4/mmm, No. 123



Entry 10:
! SrHgS2N, relaxed, DFT GGA-PBE; values from VASP
&SYSTEM
  ibrav = 0, nat = 5, ntyp = 4
/
ATOMIC_SPECIES
S 32.06 S.upf
Hg 200.59 Hg.upf
N 14.01 N.upf
Sr 87.62 Sr.upf
ATOMIC_POSITIONS crystal
S 0.000 0.500 0.000
S 0.500 0.000 0.000
Hg 0.500 0.500 0.500
N 0.000 0.000 0.500
Sr 0.000 0.000 0.000
CELL_PARAMETERS angstrom
-0.014 5.286 2.409
-4.120 -1.707 3.722
3.567 -1.480 3.270
! * DFT total energy: -14.60 eV for the cell shown
! * magnetic moment: 4.829 μB/f.u.
! * offset from the most stable computed form: 0.6206 eV/atom
! * energy relative to the elements, uncorrected: 0.79 eV/atom
! * symmetry: P4/mmm, No. 123



Entry 11:
! TcHgSN2, relaxed, DFT GGA-PBE; values from VASP
&SYSTEM
  ibrav = 0, nat = 5, ntyp = 4
/
ATOMIC_SPECIES
N 14.01 N.upf
Tc 98.00 Tc.upf
Hg 200.59 Hg.upf
S 32.06 S.upf
ATOMIC_POSITIONS crystal
N 0.500 0.000 0.000
N 0.000 0.500 0.000
Tc 0.000 0.000 0.000
Hg 0.500 0.500 0.500
S 0.000 0.000 0.500
CELL_PARAMETERS angstrom
-2.249 -2.186 -2.226
2.246 -3.040 0.715
-2.977 -1.213 4.199
! * DFT total energy: -28.62 eV for the cell shown
! * magnetic moment: 0.000 μB/f.u.
! * offset from the most stable computed form: 0.0000 eV/atom
! * energy relative to the elements, uncorrected: 0.57 eV/atom
! * symmetry: P4/mmm, No. 123



Entry 12:
! TcHgSN2, relaxed, DFT GGA-PBE; values from VASP
&SYSTEM
  ibrav = 0, nat = 5, ntyp = 4
/
ATOMIC_SPECIES
N 14.01 N.upf
S 32.06 S.upf
Tc 98.00 Tc.upf
Hg 200.59 Hg.upf
ATOMIC_POSITIONS crystal
N 0.000 0.500 0.000
N 0.500 0.000 0.000
S 0.000 0.000 0.500
Tc 0.500 0.500 0.500
Hg 0.000 0.000 0.000
CELL_PARAMETERS angstrom
-0.965 -2.434 3.052
3.862 -0.138 1.111
-0.901 5.074 3.762
! * DFT total energy: -19.67 eV for the cell shown
! * magnetic moment: 7.038 μB/f.u.
! * offset from the most stable computed form: 1.7889 eV/atom
! * energy relative to the elements, uncorrected: 2.35 eV/atom
! * symmetry: P4/mmm, No. 123